[1]
Compound: PuCu2S2
Source: Alexandria via LeMat-Bulk
Functional: PBE
Structure: optimized geometry

Cell: 6.375 6.375 6.043 Å, 116.15 116.15 99.46°
Atoms (fractional coordinates):
Pu (0.125, 0.875, 0.250)
Pu (0.875, 0.125, 0.750)
Cu (0.767, 0.517, 0.535)
Cu (0.483, 0.233, 0.965)
Cu (0.517, 0.767, 0.035)
Cu (0.233, 0.483, 0.465)
S (0.412, 0.588, 0.250)
S (0.838, 0.162, 0.250)
S (0.162, 0.838, 0.750)
S (0.588, 0.412, 0.750)

## Properties
**E_tot**: -6.788 eV/atom
**Formation energy from raw total energies**: -305 kJ/mol of formula units
**V**: 17.72 A^3/atom
**SG**: Fddd, No. 70

[2]
Compound: PuCu5S4
Source: Alexandria via LeMat-Bulk
Functional: PBE
Structure: optimized geometry

Cell: 3.870 6.873 7.427 Å, 117.56 105.10 90.00°
Atoms (fractional coordinates):
Pu (0.500, 0.000, 0.000)
Cu (0.819, 0.023, 0.638)
Cu (0.819, 0.615, 0.638)
Cu (0.181, 0.385, 0.362)
Cu (0.181, 0.977, 0.362)
Cu (0.500, 0.500, 0.000)
S (0.000, 0.721, 0.000)
S (0.276, 0.776, 0.552)
S (0.724, 0.224, 0.448)
S (0.000, 0.279, 0.000)

## Properties
**E_tot**: -5.596 eV/atom
**Formation energy from raw total energies**: -447 kJ/mol of formula units
**V**: 16.74 A^3/atom
**SG**: Immm, No. 71

[3]
Compound: Pu2CuS4
Source: Alexandria via LeMat-Bulk
Functional: PBE
Structure: optimized geometry

Cell: 4.090 8.293 10.215 Å, 74.88 78.45 75.72°
Atoms (fractional coordinates):
Pu (0.614, 0.205, 0.567)
Pu (0.175, 0.464, 0.186)
Pu (0.825, 0.536, 0.814)
Pu (0.386, 0.795, 0.433)
Cu (0.822, 0.103, 0.252)
Cu (0.178, 0.897, 0.748)
S (0.237, 0.148, 0.378)
S (0.807, 0.321, 0.065)
S (0.038, 0.177, 0.747)
S (0.578, 0.492, 0.352)
S (0.422, 0.508, 0.648)
S (0.962, 0.823, 0.253)
S (0.193, 0.679, 0.935)
S (0.763, 0.852, 0.622)

## Properties
**E_tot**: -8.327 eV/atom
**Relative energy among the computed polymorphs**: 0 meV/atom
**Formation energy from raw total energies**: -870 kJ/mol of formula units
**V**: 22.90 A^3/atom
**SG**: C2/m, No. 12

Q: V of number 1 (PuCu2S2)?
A: 17.72 A^3/atom